Material: HfNbCoO6
Method: DFT, PBE with a Hubbard U
State: relaxed

a b c (Å): 4.798 4.798 9.184
angles (deg): 90.00 90.00 90.00
Fractional positions:
O (0.306, 0.306, 0.993)
O (0.189, 0.811, 0.162)
O (0.806, 0.194, 0.493)
O (0.689, 0.689, 0.662)
O (0.304, 0.304, 0.341)
O (0.196, 0.804, 0.841)
O (0.804, 0.196, 0.841)
O (0.194, 0.806, 0.493)
O (0.811, 0.189, 0.162)
O (0.696, 0.696, 0.341)
O (0.311, 0.311, 0.662)
O (0.694, 0.694, 0.993)
Co (0.500, 0.500, 0.501)
Co (0.000, 0.000, 0.001)
Hf (0.000, 0.000, 0.671)
Hf (0.500, 0.500, 0.171)
Nb (0.000, 0.000, 0.337)
Nb (0.500, 0.500, 0.837)

Summary:
- Crystal system: tetragonal
- Mass density: 6.70 g/cm³
- Total energy: -8.4459 eV/atom